# 1
A relaxed structure of MnTcBi2O8, computed with GGA+U.

Geometry as CIF:
```
data_MnTcBi2O8
_symmetry_space_group_name_H-M 'P 1 2/m 1'
_symmetry_Int_Tables_number 10
_cell_length_a 4.949
_cell_length_b 6.785
_cell_length_c 4.955
_cell_angle_alpha 90.00
_cell_angle_beta 91.67
_cell_angle_gamma 90.00
loop_
_symmetry_equiv_pos_as_xyz
'x,y,z'
'-x,-y,-z'
'-x,y,-z'
'x,-y,z'
loop_
_atom_site_label
_atom_site_fract_x
_atom_site_fract_y
_atom_site_fract_z
Mn1 0.000 0.000 0.000
Tc1 0.000 0.500 0.000
Bi1 0.500 0.247 0.500
O1 0.178 0.280 0.825
O2 0.273 0.500 0.277
O3 0.283 0.000 0.285
```

## Properties
- M_tot: 4.22 Bohr magnetons per cell
- Electronic total energy: -79.70 eV for the cell shown

---

# 2
A relaxed structure of MnBi2TeO6, computed with GGA+U.

Geometry as CIF:
```
data_MnBi2TeO6
_symmetry_space_group_name_H-M 'R 3'
_symmetry_Int_Tables_number 146
_symmetry_space_group_name_Hall 'R 3'
_cell_length_a 6.0465
_cell_length_b 6.0465
_cell_length_c 14.2591
_cell_angle_alpha 90.00
_cell_angle_beta 90.00
_cell_angle_gamma 120.00
loop_
_atom_site_label
_atom_site_fract_x
_atom_site_fract_y
_atom_site_fract_z
Mn1 0.0000 0.0000 0.0000
Bi1 0.0000 0.0000 0.2188
Bi2 0.0000 0.0000 0.7325
Te1 0.0000 0.0000 0.5095
O1 0.0094 0.2719 0.1105
O2 0.0481 0.6114 0.2670
```

## Properties
- M_tot: 15.00 Bohr magnetons per cell
- Electronic total energy: -180.43 eV for the cell shown

---

# 3
A relaxed structure of MnBi2TeO8, computed with GGA+U.

Geometry as CIF:
```
data_MnBi2TeO8
_symmetry_space_group_name_H-M 'C m m m'
_symmetry_Int_Tables_number 65
_symmetry_space_group_name_Hall '-C 2 2'
_cell_length_a 6.930
_cell_length_b 7.147
_cell_length_c 6.807
_cell_angle_alpha 90.00
_cell_angle_beta 90.00
_cell_angle_gamma 90.00
loop_
_atom_site_label
_atom_site_fract_x
_atom_site_fract_y
_atom_site_fract_z
Mn1 0.000 0.000 0.000
Bi1 0.000 0.500 0.246
Te1 0.000 0.000 0.500
O1 0.000 0.178 0.276
O2 0.217 0.500 0.000
O3 0.217 0.500 0.500
```

## Properties
- M_tot: 7.75 Bohr magnetons per cell
- Electronic total energy: -142.84 eV for the cell shown

---

# 4
A relaxed structure of MnBiTeO6, computed with GGA+U.

Geometry as CIF:
```
data_MnBiTeO6
_symmetry_space_group_name_H-M 'P -3 1 c'
_symmetry_Int_Tables_number 163
_symmetry_space_group_name_Hall '-P 3 2c'
_cell_length_a 5.2051
_cell_length_b 5.2051
_cell_length_c 10.0638
_cell_angle_alpha 90.00
_cell_angle_beta 90.00
_cell_angle_gamma 120.00
loop_
_atom_site_label
_atom_site_fract_x
_atom_site_fract_y
_atom_site_fract_z
Mn1 0.3333 0.6667 0.2500
Bi1 0.0000 0.0000 0.0000
Te1 0.3333 0.6667 0.7500
O1 0.0027 0.3740 0.6416
```

## Properties
- M_tot: 4.00 Bohr magnetons per cell
- Electronic total energy: -109.41 eV for the cell shown

---

# 5
A relaxed structure of MnBiTe2O8, computed with GGA+U.

Geometry as CIF:
```
data_MnBiTe2O8
_symmetry_space_group_name_H-M 'I -4 m 2'
_symmetry_Int_Tables_number 119
_symmetry_space_group_name_Hall 'I -4 -2'
_cell_length_a 7.400
_cell_length_b 7.400
_cell_length_c 6.825
_cell_angle_alpha 90.00
_cell_angle_beta 90.00
_cell_angle_gamma 90.00
loop_
_atom_site_label
_atom_site_fract_x
_atom_site_fract_y
_atom_site_fract_z
Mn1 0.000 0.000 0.000
Bi1 0.000 0.500 0.250
Te1 0.000 0.000 0.500
Te2 0.000 0.500 0.750
O1 0.000 0.185 0.305
O2 0.000 0.309 0.932
```

## Properties
- M_tot: 9.31 Bohr magnetons per cell
- Electronic total energy: -137.53 eV for the cell shown

---

# 6
A relaxed structure of Mn2BiTeO8, computed with GGA+U.

Geometry as CIF:
```
data_Mn2BiTeO8
_symmetry_space_group_name_H-M 'C m m m'
_symmetry_Int_Tables_number 65
_symmetry_space_group_name_Hall '-C 2 2'
_cell_length_a 6.612
_cell_length_b 7.186
_cell_length_c 6.403
_cell_angle_alpha 90.00
_cell_angle_beta 90.00
_cell_angle_gamma 90.00
loop_
_atom_site_label
_atom_site_fract_x
_atom_site_fract_y
_atom_site_fract_z
Mn1 0.000 0.000 0.244
Bi1 0.000 0.500 0.500
Te1 0.000 0.500 0.000
O1 0.000 0.313 0.225
O2 0.178 0.000 0.500
O3 0.201 0.000 0.000
```

## Properties
- M_tot: 17.27 Bohr magnetons per cell
- Electronic total energy: -151.86 eV for the cell shown